[1]
Computed, not measured: a relaxed structure of Ba2NdTl at the PBE level of DFT.

Energy relative to the lowest polymorph listed for this composition = 194 meV/atom
Crystal system = trigonal
D(E_F) = 1.358 states/eV/atom

CIF file:
```
data_Ba2NdTl
_chemical_formula_sum 'Ba6 Nd3 Tl3'
_cell_length_a 3.9663
_cell_length_b 3.9663
_cell_length_c 39.0687
_cell_angle_alpha 90.00
_cell_angle_beta 90.00
_cell_angle_gamma 120.00
_space_group_name_H-M_alt 'R -3 m'
_space_group_IT_number 166
_space_group_name_Hall '-R 3 2"'
loop_
_atom_site_label
_atom_site_type_symbol
_atom_site_fract_x
_atom_site_fract_y
_atom_site_fract_z
Ba1 Ba 0.0000 0.0000 0.0962
Nd1 Nd 0.0000 0.0000 0.0000
Tl1 Tl 0.0000 0.0000 0.5000
```

***

[2]
Computed, not measured: a relaxed structure of LiCd2Cl at the PBE level of DFT.

E_form (uncorrected) = -528 meV per atom
Energy relative to the lowest polymorph listed for this composition = 154 meV/atom
Crystal system = orthorhombic
D(E_F) = 0.161 states/eV/atom

CIF file:
```
data_LiCd2Cl
_chemical_formula_sum 'Li2 Cd4 Cl2'
_cell_length_a 3.445
_cell_length_b 5.912
_cell_length_c 9.549
_cell_angle_alpha 90.00
_cell_angle_beta 90.00
_cell_angle_gamma 90.00
_space_group_name_H-M_alt 'I m m 2'
_space_group_IT_number 44
loop_
_space_group_symop_operation_xyz
'x,y,z'
'-x,-y,z'
'-x,y,z'
'x,-y,z'
'x+1/2,y+1/2,z+1/2'
'-x+1/2,-y+1/2,z+1/2'
'-x+1/2,y+1/2,z+1/2'
'x+1/2,-y+1/2,z+1/2'
loop_
_atom_site_label
_atom_site_type_symbol
_atom_site_fract_x
_atom_site_fract_y
_atom_site_fract_z
Li1 Li 0.000 0.000 0.000
Cd1 Cd 0.000 0.000 0.548
Cd2 Cd 0.000 0.500 0.763
Cl1 Cl 0.000 0.500 0.343
```